[1]
Entry from Alexandria via LeMat-Bulk: a relaxed LiPmGdNi crystal (PBE).

Lattice parameters (Å, degrees): 5.0143 5.0143 5.0143 60.00 60.00 60.00
Last column: nearest neighbours and their distance in Å.
Atoms (fractional coordinates):
1 Li 0.7500 0.7500 0.7500  4 Gd 3.07, 4 Pm 3.07
2 Gd 0.5000 0.5000 0.5000  4 Li 3.07, 4 Ni 3.07
3 Ni 0.2500 0.2500 0.2500  4 Gd 3.07, 4 Pm 3.07
4 Pm 0.0000 0.0000 0.0000  4 Li 3.07, 4 Ni 3.07

Output
Volume ... 22.3 A^3/atom
Calculated density ... 6.85 Mg/m³
Density of states at the Fermi level ... 3.6 states/eV/f.u.
Total moment ... 7.15 μB/f.u.
Calculated formation energy ... -0.33 eV/f.u.

---

[2]
Entry from Alexandria via LeMat-Bulk: a relaxed LiPrGdNi crystal (PBE).

Lattice parameters (Å, degrees): 5.0517 5.0517 5.0517 60.00 60.00 60.00
Last column: nearest neighbours and their distance in Å.
Atoms (fractional coordinates):
1 Li 0.7500 0.7500 0.7500  4 Gd 3.09, 4 Pr 3.09
2 Pr 0.5000 0.5000 0.5000  4 Li 3.09, 4 Ni 3.09
3 Ni 0.2500 0.2500 0.2500  4 Pr 3.09, 4 Gd 3.09
4 Gd 0.0000 0.0000 0.0000  4 Ni 3.09, 4 Li 3.09

Output
Volume ... 22.8 A^3/atom
Calculated density ... 6.63 Mg/m³
Density of states at the Fermi level ... 3.5 states/eV/f.u.
Total moment ... 7.10 μB/f.u.
Calculated formation energy ... -0.26 eV/f.u.

---

[3]
Entry from Alexandria via LeMat-Bulk: a relaxed LiGdNiPt crystal (PBE).

Lattice parameters (Å, degrees): 4.6374 4.6374 4.6374 60.00 60.00 60.00
Last column: nearest neighbours and their distance in Å.
Atoms (fractional coordinates):
1 Ni 0.0000 0.0000 0.0000  4 Gd 2.84, 4 Li 2.84
2 Gd 0.2500 0.2500 0.2500  4 Pt 2.84, 4 Ni 2.84
3 Pt 0.5000 0.5000 0.5000  4 Gd 2.84, 4 Li 2.84
4 Li 0.7500 0.7500 0.7500  4 Ni 2.84, 4 Pt 2.84

Output
Volume ... 17.6 A^3/atom
Calculated density ... 9.84 Mg/m³
Density of states at the Fermi level ... 1.3 states/eV/f.u.
Total moment ... 7.00 μB/f.u.
Calculated formation energy ... -2.03 eV/f.u.

---

[4]
Entry from Alexandria via LeMat-Bulk: a relaxed LiGdNiSb crystal (PBE).

Lattice parameters (Å, degrees): 4.6699 4.6699 4.6699 60.00 60.00 60.00
Last column: nearest neighbours and their distance in Å.
Atoms (fractional coordinates):
1 Ni 0.2500 0.2500 0.2500  4 Sb 2.86, 4 Gd 2.86
2 Gd 0.0000 0.0000 0.0000  4 Ni 2.86, 4 Li 2.86
3 Li 0.7500 0.7500 0.7500  4 Gd 2.86, 4 Sb 2.86
4 Sb 0.5000 0.5000 0.5000  4 Li 2.86, 4 Ni 2.86

Output
Volume ... 18.0 A^3/atom
Calculated density ... 7.95 Mg/m³
Formation energy without anion corrections ... -0.527 eV/atom
Density of states at the Fermi level ... 2.9 states/eV/f.u.
Total moment ... 6.93 μB/f.u.

---

[5]
Entry from Alexandria via LeMat-Bulk: a relaxed LiGdNiSn crystal (PBE).

Lattice parameters (Å, degrees): 4.6688 4.6688 4.6688 60.00 60.00 60.00
Last column: nearest neighbours and their distance in Å.
Atoms (fractional coordinates):
1 Sn 0.2500 0.2500 0.2500  4 Li 2.86, 4 Ni 2.86
2 Li 0.0000 0.0000 0.0000  4 Gd 2.86, 4 Sn 2.86
3 Ni 0.5000 0.5000 0.5000  4 Sn 2.86, 4 Gd 2.86
4 Gd 0.7500 0.7500 0.7500  4 Li 2.86, 4 Ni 2.86

Output
Volume ... 18.0 A^3/atom
Calculated density ... 7.88 Mg/m³
Density of states at the Fermi level ... 0.1 states/eV/f.u.
Total moment ... 7.00 μB/f.u.
Calculated formation energy ... -2.27 eV/f.u.

---

[6]
Entry from Alexandria via LeMat-Bulk: a relaxed LiTbGdNi crystal (PBE).

Lattice parameters (Å, degrees): 4.9580 4.9580 4.9580 60.00 60.00 60.00
Last column: nearest neighbours and their distance in Å.
Atoms (fractional coordinates):
1 Ni 0.2500 0.2500 0.2500  4 Gd 3.04, 4 Tb 3.04
2 Li 0.7500 0.7500 0.7500  4 Gd 3.04, 4 Tb 3.04
3 Tb 0.0000 0.0000 0.0000  4 Li 3.04, 4 Ni 3.04
4 Gd 0.5000 0.5000 0.5000  4 Ni 3.04, 4 Li 3.04

Output
Volume ... 21.5 A^3/atom
Calculated density ... 7.36 Mg/m³
Density of states at the Fermi level ... 3.6 states/eV/f.u.
Total moment ... 7.22 μB/f.u.
Calculated formation energy ... -0.46 eV/f.u.

---

[7]
Entry from Alexandria via LeMat-Bulk: a relaxed LiGdTlNi crystal (PBE).

Lattice parameters (Å, degrees): 4.7490 4.7490 4.7490 60.00 60.00 60.00
Last column: nearest neighbours and their distance in Å.
Atoms (fractional coordinates):
1 Ni 0.2500 0.2500 0.2500  4 Gd 2.91, 4 Tl 2.91
2 Li 0.7500 0.7500 0.7500  4 Tl 2.91, 4 Gd 2.91
3 Tl 0.5000 0.5000 0.5000  4 Li 2.91, 4 Ni 2.91
4 Gd 0.0000 0.0000 0.0000  4 Li 2.91, 4 Ni 2.91

Output
Volume ... 18.9 A^3/atom
Calculated density ... 9.37 Mg/m³
Density of states at the Fermi level ... 4.2 states/eV/f.u.
Total moment ... 7.73 μB/f.u.
Calculated formation energy ... -0.97 eV/f.u.

---

[8]
Entry from Alexandria via LeMat-Bulk: a relaxed LiGdTmNi crystal (PBE).

Lattice parameters (Å, degrees): 4.9098 4.9098 4.9098 60.00 60.00 60.00
Last column: nearest neighbours and their distance in Å.
Atoms (fractional coordinates):
1 Li 0.7500 0.7500 0.7500  4 Gd 3.01, 4 Tm 3.01
2 Gd 0.0000 0.0000 0.0000  4 Li 3.01, 4 Ni 3.01
3 Tm 0.5000 0.5000 0.5000  4 Li 3.01, 4 Ni 3.01
4 Ni 0.2500 0.2500 0.2500  4 Gd 3.01, 4 Tm 3.01

Output
Volume ... 20.9 A^3/atom
Calculated density ... 7.77 Mg/m³
Density of states at the Fermi level ... 3.4 states/eV/f.u.
Total moment ... 7.25 μB/f.u.
Calculated formation energy ... -0.56 eV/f.u.